Ge3BAu after structural relaxation, computed with GGA-PBE.

Calculated values
Calculated density in g cm⁻³: 8.27
DFT total energy in eV/cell: -20.9
Fermi-level density of states in states/eV/f.u.: 2.03
Energy relative to the elements in eV/f.u.: 2.916
Size of the total moment in μB per formula unit: 0.00
Polymorph energy (0 for the lowest one) in eV per atom: 0.000

Lattice parameters (Å, degrees): 4.405 4.405 4.405 90.00 90.00 90.00
Fractional coordinates of all 5 atoms:
Ge 0.000 0.000 0.500
Ge 0.000 0.500 0.000
Ge 0.500 0.000 0.000
B 0.000 0.000 0.000
Au 0.500 0.500 0.500